[1]
The following is a PBE calculation of a relaxed structure of NaBPtRh2, from Alexandria.

Computed properties:
Symmetry: P4/mmm (123)
Energy relative to the elements, meV per atom: -96

Cell: 4.172 4.172 4.179 Å, 90.00 90.00 90.00°
Atoms (fractional coordinates):
Na 0.000 0.000 0.000
B 0.500 0.500 0.500
Pt 0.500 0.500 0.000
Rh 0.000 0.500 0.500
Rh 0.500 0.000 0.500


[2]
The following is a PBE calculation of a relaxed structure of Na2B2SbPt5, from Alexandria.

Computed properties:
Symmetry: P4/mbm (127)
Formation energy without anion corrections, eV per atom: -0.32

Cell: 10.076 10.076 3.075 Å, 90.00 90.00 90.00°
Atoms (fractional coordinates):
Na 0.180 0.320 0.000
Na 0.320 0.820 0.000
Na 0.680 0.180 0.000
Na 0.820 0.680 0.000
B 0.120 0.620 0.000
B 0.380 0.120 0.000
B 0.620 0.880 0.000
B 0.880 0.380 0.000
Sb 0.000 0.000 0.000
Sb 0.500 0.500 0.000
Pt 0.000 0.500 0.500
Pt 0.065 0.767 0.500
Pt 0.233 0.065 0.500
Pt 0.267 0.565 0.500
Pt 0.435 0.267 0.500
Pt 0.500 0.000 0.500
Pt 0.565 0.733 0.500
Pt 0.733 0.435 0.500
Pt 0.767 0.935 0.500
Pt 0.935 0.233 0.500